# 1
5
Lattice="-3.6751 -3.0983 -0.5921 0.6411 0.0724 -4.3582 3.0746 -3.7216 0.3904" Properties=species:S:1:pos:R:3 comment="Zr2FeTcSb, optimized geometry, DFT PBE" e_form_raw_ev_per_fu=0.94 pbc="T T T"
Tc 0.3205 0.0362 -2.1791
Zr -1.8376 -1.5491 -0.2960
Zr 1.5373 -1.8608 0.1952
Sb 0.0203 -3.3738 -2.2800
Fe 0.0000 0.0000 0.0000

# 2
4
Lattice="-1.9127 -2.3928 -1.4103 2.3961 -0.4721 -2.4487 2.9793 -4.6277 3.8110" Properties=species:S:1:pos:R:3 comment="Fe2SbTe, optimized geometry, DFT PBE" e_form_raw_ev_per_fu=1.30 pbc="T T T"
Fe 3.0969 -2.3724 -0.1751
Fe 1.9868 -0.6497 -1.5924
Sb 0.3875 -2.4714 -0.3646
Te 3.0752 -5.0213 0.3166

# 3
4
Lattice="4.6543 0.3691 0.7393 3.3583 3.2435 0.7393 2.5157 1.1343 6.6470" Properties=species:S:1:pos:R:3 comment="Fe2SbTe, optimized geometry, DFT PBE" e_form_raw_ev_per_fu=1.17 pbc="T T T"
Sb 7.8962 3.5602 6.0942
Fe 9.9753 4.4977 7.4025
Fe 5.8171 2.6228 4.7858
Te 2.6321 1.1867 2.0314

# 4
4
Lattice="-3.2361 1.2306 4.7570 -5.8289 -0.6765 0.4272 4.8905 -2.7963 -1.6968" Properties=species:S:1:pos:R:3 comment="Fe2SbTe, optimized geometry, DFT PBE" e_form_raw_ev_per_fu=2.23 pbc="T T T"
Sb -4.5325 0.2770 2.5921
Fe -2.7354 -1.5979 0.6612
Fe 0.0000 0.0000 0.0000
Te -1.4391 -0.6444 2.8262

Per-record volume, Å³ per atom: 20.7; 19.5; 21.4; 19.0
Per-record DOS at the Fermi energy, states/eV per atom: 0.96; 1.07; 0.83; 1.21
Per-record energy, eV per atom: -7.822; -5.723; -5.754; -5.490